Compound: Ca3Ge3W2O12
Source: Alexandria
Functional: PBE with a Hubbard U
Structure: relaxed

abc: 11.0401 11.0401 11.0401
angles: 109.47 109.47 109.47
With the nearest neighbours (Å) after each atom.
Sites, in units of the cell vectors:
W (0.5000, 0.5000, 0.5000)  6 O 2.17
O (0.7121, 0.5199, 0.6229)  1 Ge 1.79
W (0.0000, 0.0000, 0.0000)  6 O 2.17
Ge (0.6250, 0.3750, 0.2500)  4 O 1.79
W (0.5000, 0.0000, 0.5000)  6 O 2.17
O (0.7879, 0.8771, 0.9801)  1 Ge 1.79
O (0.9801, 0.7879, 0.8771)  1 Ge 1.79
Ca (0.7500, 0.6250, 0.8750)  8 O 2.45-2.56
O (0.1031, 0.6229, 0.4108)  1 Ge 1.79
O (0.6031, 0.1923, 0.4801)  1 Ge 1.79
Ge (0.7500, 0.3750, 0.6250)  4 O 1.79
Ge (0.3750, 0.2500, 0.6250)  4 O 1.79
O (0.2121, 0.1229, 0.0199)  1 Ge 1.79
Ca (0.2500, 0.3750, 0.1250)  8 O 2.45-2.56
O (0.8969, 0.0199, 0.3077)  1 Ge 1.79
Ge (0.7500, 0.8750, 0.1250)  4 O 1.79
O (0.7879, 0.4108, 0.8077)  1 Ge 1.79
O (0.3077, 0.9108, 0.2879)  1 Ge 1.79
O (0.1923, 0.2121, 0.5892)  1 Ge 1.79
O (0.9108, 0.1229, 0.6031)  1 Ge 1.79
O (0.5199, 0.6229, 0.7121)  1 Ge 1.79
O (0.6923, 0.0892, 0.7121)  1 Ge 1.79
O (0.3077, 0.8969, 0.0199)  1 Ge 1.79
O (0.2879, 0.3077, 0.9108)  1 Ge 1.79
O (0.0199, 0.3077, 0.8969)  1 Ge 1.79
Ca (0.8750, 0.7500, 0.6250)  8 O 2.45-2.56
Ca (0.1250, 0.3750, 0.7500)  8 O 2.45-2.56
O (0.6229, 0.7121, 0.5199)  1 Ge 1.79
O (0.8969, 0.3771, 0.5892)  1 Ge 1.79
O (0.4108, 0.1031, 0.6229)  1 Ge 1.79
Ge (0.2500, 0.1250, 0.8750)  4 O 1.79
O (0.8771, 0.9801, 0.7879)  1 Ge 1.79
Ge (0.2500, 0.6250, 0.3750)  4 O 1.79
Ca (0.1250, 0.2500, 0.3750)  8 O 2.45-2.56
O (0.8077, 0.5199, 0.3969)  1 Ge 1.79
O (0.6031, 0.9108, 0.1229)  1 Ge 1.79
Ge (0.1250, 0.7500, 0.8750)  4 O 1.79
O (0.1923, 0.4801, 0.6031)  1 Ge 1.79
O (0.0892, 0.8771, 0.3969)  1 Ge 1.79
O (0.4801, 0.3771, 0.2879)  1 Ge 1.79
O (0.3969, 0.0892, 0.8771)  1 Ge 1.79
O (0.3969, 0.8077, 0.5199)  1 Ge 1.79
O (0.0199, 0.2121, 0.1229)  1 Ge 1.79
O (0.8771, 0.3969, 0.0892)  1 Ge 1.79
Ge (0.1250, 0.8750, 0.2500)  4 O 1.79
O (0.5199, 0.3969, 0.8077)  1 Ge 1.79
O (0.6923, 0.1031, 0.9801)  1 Ge 1.79
O (0.6229, 0.4108, 0.1031)  1 Ge 1.79
O (0.2121, 0.5892, 0.1923)  1 Ge 1.79
O (0.8077, 0.7879, 0.4108)  1 Ge 1.79
O (0.0892, 0.7121, 0.6923)  1 Ge 1.79
O (0.1031, 0.9801, 0.6923)  1 Ge 1.79
Ge (0.8750, 0.1250, 0.7500)  4 O 1.79
Ca (0.6250, 0.8750, 0.7500)  8 O 2.45-2.56
O (0.9801, 0.6923, 0.1031)  1 Ge 1.79
O (0.7121, 0.6923, 0.0892)  1 Ge 1.79
Ca (0.3750, 0.1250, 0.2500)  8 O 2.45-2.56
O (0.3771, 0.2879, 0.4801)  1 Ge 1.79
Ca (0.7500, 0.1250, 0.3750)  8 O 2.45-2.56
O (0.5892, 0.8969, 0.3771)  1 Ge 1.79
O (0.1229, 0.0199, 0.2121)  1 Ge 1.79
W (0.0000, 0.0000, 0.5000)  6 O 2.17
W (0.5000, 0.0000, 0.0000)  6 O 2.17
W (0.5000, 0.5000, 0.0000)  6 O 2.17
W (0.0000, 0.5000, 0.5000)  6 O 2.17
Ca (0.3750, 0.7500, 0.1250)  8 O 2.45-2.56
Ca (0.2500, 0.8750, 0.6250)  8 O 2.45-2.56
O (0.1229, 0.6031, 0.9108)  1 Ge 1.79
Ca (0.8750, 0.6250, 0.2500)  8 O 2.45-2.56
Ge (0.6250, 0.7500, 0.3750)  4 O 1.79
O (0.4801, 0.6031, 0.1923)  1 Ge 1.79
O (0.5892, 0.1923, 0.2121)  1 Ge 1.79
Ge (0.8750, 0.2500, 0.1250)  4 O 1.79
O (0.4108, 0.8077, 0.7879)  1 Ge 1.79
Ge (0.3750, 0.6250, 0.7500)  4 O 1.79
O (0.9108, 0.2879, 0.3077)  1 Ge 1.79
O (0.3771, 0.5892, 0.8969)  1 Ge 1.79
Ca (0.6250, 0.2500, 0.8750)  8 O 2.45-2.56
W (0.0000, 0.5000, 0.0000)  6 O 2.17
O (0.2879, 0.4801, 0.3771)  1 Ge 1.79

## Properties
Uncorrected energy, eV per atom: -6.90